[1]
# SnSbP2O8

A relaxed structure of SnSbP2O8 (PBE-GGA, the Alexandria database).

Unit cell a=4.908 b=4.908 c=8.034 alpha=72.21 beta=72.21 gamma=60.00
Each line ends with the local moment (μB).
Element x y z (fractional)
1 O 0.816 0.816 0.553  0.03
2 O 0.729 0.024 0.825  0.07
3 O 0.271 0.976 0.175  0.07
4 O 0.024 0.422 0.825  0.07
5 O 0.578 0.271 0.175  0.07
6 O 0.422 0.729 0.825  0.07
7 O 0.976 0.578 0.175  0.07
8 Sb 0.000 0.000 0.000  0.22
9 P 0.748 0.748 0.757  0.01
10 Sn 0.500 0.500 0.500  0.01
11 O 0.184 0.184 0.447  0.03
12 P 0.252 0.252 0.243  0.01

Values from the calculation:
**Crystal system**: trigonal
**Formation energy from raw total energies**: -1.74 eV/atom
**Mass density**: 4.557 Mg/m³
**M_tot**: 0.815 μB/f.u.
**Density of states at the Fermi level**: 3.78 states/eV/f.u.

[2]
# ScAl2Ir

A relaxed structure of ScAl2Ir (PBE-GGA, the Alexandria database).

Unit cell a=5.318 b=7.140 c=14.700 alpha=90.00 beta=90.00 gamma=90.00
Element x y z (fractional)
1 Ir 0.482 0.750 0.428
2 Ir 0.982 0.250 0.072
3 Ir 0.796 0.750 0.687
4 Al 0.740 0.944 0.039
5 Ir 0.518 0.250 0.572
6 Sc 0.770 0.250 0.902
7 Al 0.436 0.952 0.287
8 Al 0.564 0.452 0.713
9 Sc 0.044 0.250 0.637
10 Al 0.740 0.556 0.039
11 Ir 0.296 0.250 0.813
12 Ir 0.204 0.250 0.313
13 Al 0.760 0.944 0.539
14 Al 0.436 0.548 0.287
15 Sc 0.230 0.750 0.098
16 Ir 0.018 0.750 0.928
17 Sc 0.730 0.250 0.402
18 Sc 0.456 0.250 0.137
19 Al 0.260 0.056 0.961
20 Al 0.260 0.444 0.961
21 Al 0.936 0.048 0.213
22 Sc 0.544 0.750 0.863
23 Al 0.240 0.444 0.461
24 Al 0.064 0.952 0.787
25 Al 0.240 0.056 0.461
26 Sc 0.956 0.750 0.363
27 Sc 0.270 0.750 0.598
28 Al 0.760 0.556 0.539
29 Al 0.936 0.452 0.213
30 Al 0.564 0.048 0.713
31 Al 0.064 0.548 0.787
32 Ir 0.704 0.750 0.187

Values from the calculation:
**Crystal system**: orthorhombic
**Mass density**: 6.929 Mg/m³
**M_tot**: 0.000 μB/f.u.
**Energy of formation**: -0.839 eV/atom
**Density of states at the Fermi level**: 1.56 states/eV/f.u.

[3]
# HfPaTa2

A relaxed structure of HfPaTa2 (PBE-GGA, the Alexandria database).

Unit cell a=3.501 b=4.881 c=4.881 alpha=90.00 beta=90.00 gamma=90.00
Element x y z (fractional)
1 Hf 0.500 0.500 0.500
2 Pa 0.500 0.000 0.000
3 Ta 0.000 0.500 0.000
4 Ta 0.000 0.000 0.500

Values from the calculation:
**Crystal system**: tetragonal
**Mass density**: 15.360 Mg/m³
**M_tot**: 0.000 μB/f.u.
**Energy of formation**: 0.223 eV/atom
**Density of states at the Fermi level**: 7.58 states/eV/f.u.

> Which formula does entry 1 have?

SnSbP2O8